# PBE LaBr2N2, optimized geometry
data_LaBr2N2
_space_group_name_H-M_alt 'P -1'
_space_group_IT_number 2
_space_group_name_Hall '-P 1'
_cell_length_a 5.324
_cell_length_b 7.967
_cell_length_c 9.037
_cell_angle_alpha 107.54
_cell_angle_beta 95.11
_cell_angle_gamma 99.78
loop_
_atom_site_label
_atom_site_fract_x
_atom_site_fract_y
_atom_site_fract_z
La1 0.032 0.056 0.266
Br1 0.045 0.762 0.971
Br2 0.089 0.251 0.611
N1 0.444 0.885 0.710
N2 0.486 0.252 0.326
# **D(E_F)**: 0.09 states/eV/f.u.
# **E_form (uncorrected)**: -1043 meV per atom